Entry 1:
A relaxed structure of MoRh2Cl. Source: Alexandria, functional GGA-PBE.

```
data_MoRh2Cl
_chemical_formula_sum 'Mo1 Rh2 Cl1'
_symmetry_space_group_name_H-M 'P 1'
_symmetry_Int_Tables_number 1
_cell_length_a 2.827
_cell_length_b 4.589
_cell_length_c 4.631
_cell_angle_alpha 90.00
_cell_angle_beta 90.00
_cell_angle_gamma 90.00
loop_
_symmetry_equiv_pos_as_xyz
'x,y,z'
loop_
_atom_site_label
_atom_site_type_symbol
_atom_site_fract_x
_atom_site_fract_y
_atom_site_fract_z
Mo1 Mo 0.000 0.000 0.000
Rh1 Rh 0.000 0.500 0.500
Rh2 Rh 0.500 0.000 0.500
Cl1 Cl 0.500 0.500 0.000
```

Results
E_form (uncorrected) = 50.7 kJ per mole of atoms
Energy above the lowest structure with this stoichiometry = 0.458 eV/atom
Symmetry = Pmmm

=====

Entry 2:
A relaxed structure of Mo2RhCl. Source: Alexandria, functional GGA-PBE.

```
data_Mo2RhCl
_chemical_formula_sum 'Mo2 Rh1 Cl1'
_symmetry_space_group_name_H-M 'P 1'
_symmetry_Int_Tables_number 1
_cell_length_a 5.119
_cell_length_b 5.119
_cell_length_c 4.540
_cell_angle_alpha 91.16
_cell_angle_beta 91.16
_cell_angle_gamma 32.05
loop_
_symmetry_equiv_pos_as_xyz
'x,y,z'
loop_
_atom_site_label
_atom_site_type_symbol
_atom_site_fract_x
_atom_site_fract_y
_atom_site_fract_z
Mo1 Mo 0.000 0.000 0.000
Mo2 Mo 0.705 0.705 0.297
Rh1 Rh 0.436 0.436 0.472
Cl1 Cl 0.215 0.215 0.743
```

Results
E_form (uncorrected) = 38.1 kJ per mole of atoms
Energy above the lowest structure with this stoichiometry = 0.309 eV/atom
Symmetry = Cm

=====

Entry 3:
A relaxed structure of MoRh2Cl. Source: Alexandria, functional GGA-PBE.

```
data_MoRh2Cl
_chemical_formula_sum 'Mo1 Rh2 Cl1'
_symmetry_space_group_name_H-M 'P 1'
_symmetry_Int_Tables_number 1
_cell_length_a 4.690
_cell_length_b 4.690
_cell_length_c 4.690
_cell_angle_alpha 128.65
_cell_angle_beta 128.65
_cell_angle_gamma 75.58
loop_
_symmetry_equiv_pos_as_xyz
'x,y,z'
loop_
_atom_site_label
_atom_site_type_symbol
_atom_site_fract_x
_atom_site_fract_y
_atom_site_fract_z
Mo1 Mo 0.000 0.000 0.000
Rh1 Rh 0.250 0.750 0.500
Rh2 Rh 0.750 0.250 0.500
Cl1 Cl 0.500 0.500 0.000
```

Results
E_form (uncorrected) = 61.3 kJ per mole of atoms
Energy above the lowest structure with this stoichiometry = 0.567 eV/atom
Symmetry = I4/mmm